Computed, not measured: crystalline KGeP3 at its relaxed geometry at the PBEsol level of DFT.

a b c (Å): 4.829 4.829 4.829
angles (deg): 90.00 90.00 90.00
Fractional positions:
K (0.000, 0.000, 0.000)
Ge (0.500, 0.500, 0.500)
P (0.000, 0.500, 0.500)
P (0.500, 0.000, 0.500)
P (0.500, 0.500, 0.000)

Values from the calculation:
The value obtained for the energy of formation from the pure elements is 584 meV/atom.

=====

Computed, not measured: crystalline KTc2GeP at its relaxed geometry at the PBEsol level of DFT.

a b c (Å): 4.436 4.436 5.281
angles (deg): 90.00 90.00 90.00
Fractional positions:
K (0.000, 0.000, 0.000)
Tc (0.000, 0.500, 0.500)
Tc (0.500, 0.000, 0.500)
Ge (0.500, 0.500, 0.000)
P (0.000, 0.000, 0.500)

Values from the calculation:
The value obtained for the energy of formation from the pure elements is 951 meV/atom.

=====

Computed, not measured: crystalline KGe3Pb at its relaxed geometry at the PBEsol level of DFT.

a b c (Å): 5.349 5.349 5.349
angles (deg): 90.00 90.00 90.00
Fractional positions:
K (0.000, 0.000, 0.000)
Ge (0.000, 0.000, 0.500)
Ge (0.000, 0.500, 0.000)
Ge (0.500, 0.000, 0.000)
Pb (0.500, 0.500, 0.500)

Values from the calculation:
The value obtained for the energy of formation from the pure elements is 1354 meV/atom.

=====

Computed, not measured: crystalline K2Ge2PbS6 at its relaxed geometry at the PBEsol level of DFT.

a b c (Å): 8.444 8.444 8.919
angles (deg): 90.16 90.16 113.75
Fractional positions:
K (0.041, 0.765, 0.982)
K (0.235, 0.959, 0.518)
K (0.765, 0.041, 0.482)
K (0.959, 0.235, 0.018)
Ge (0.158, 0.476, 0.437)
Ge (0.476, 0.158, 0.937)
Ge (0.524, 0.842, 0.063)
Ge (0.842, 0.524, 0.563)
Pb (0.481, 0.519, 0.750)
Pb (0.519, 0.481, 0.250)
S (0.025, 0.416, 0.665)
S (0.156, 0.244, 0.330)
S (0.244, 0.156, 0.830)
S (0.319, 0.583, 0.042)
S (0.416, 0.025, 0.165)
S (0.417, 0.681, 0.458)
S (0.583, 0.319, 0.542)
S (0.584, 0.975, 0.835)
S (0.681, 0.417, 0.958)
S (0.756, 0.844, 0.170)
S (0.844, 0.756, 0.670)
S (0.975, 0.584, 0.335)

Values from the calculation:
The energy is -4.596 eV per atom.

=====

Computed, not measured: crystalline KRb2GePd at its relaxed geometry at the PBEsol level of DFT.

a b c (Å): 6.202 6.202 6.001
angles (deg): 90.00 90.00 90.00
Fractional positions:
K (0.000, 0.000, 0.000)
Rb (0.000, 0.500, 0.500)
Rb (0.500, 0.000, 0.500)
Ge (0.500, 0.500, 0.000)
Pd (0.000, 0.000, 0.500)

Values from the calculation:
The value obtained for the energy of formation from the pure elements is 499 meV/atom.

=====

Computed, not measured: crystalline K2GePt2 at its relaxed geometry at the PBEsol level of DFT.

a b c (Å): 6.403 6.403 5.513
angles (deg): 90.00 90.00 90.00
Fractional positions:
K (0.173, 0.327, 0.000)
K (0.327, 0.827, 0.000)
K (0.673, 0.173, 0.000)
K (0.827, 0.673, 0.000)
Ge (0.000, 0.000, 0.500)
Ge (0.500, 0.500, 0.500)
Pt (0.146, 0.646, 0.500)
Pt (0.354, 0.146, 0.500)
Pt (0.646, 0.854, 0.500)
Pt (0.854, 0.354, 0.500)

Values from the calculation:
The value obtained for the energy of formation from the pure elements is -157 meV/atom.